{
  "formula": "Cs3Pr3CrO8",
  "functional": "PBE with a Hubbard U",
  "state": "relaxed",
  "lattice": [[6.208, -3.538, 0.000], [6.208, 3.538, 0.000], [-4.081, 0.000, 6.976]],
  "species": ["Cs", "Cs", "Cs", "Pr", "Pr", "Pr", "Cr", "O", "O", "O", "O", "O", "O", "O", "O"],
  "fractional_positions": [[0.000, 0.000, 0.000], [0.000, 0.500, 0.000], [0.500, 0.000, 0.000], [0.000, 0.500, 0.500], [0.500, 0.000, 0.500], [0.500, 0.500, 0.500], [0.000, 0.000, 0.500], [0.191, 0.769, 0.652], [0.201, 0.201, 0.658], [0.231, 0.809, 0.348], [0.279, 0.279, 0.330], [0.721, 0.721, 0.670], [0.769, 0.191, 0.652], [0.799, 0.799, 0.342], [0.809, 0.231, 0.348]],
  "crystal_system": "monoclinic",
  "space_group": "C2/m, No. 12",
  "e_tot_ev_per_atom": -6.514
}